Record 1
A relaxed CePm4Hg5 crystal, computed with PBE.

DFT total energy = -30.81 eV/cell
mass density = 10284 kg/m3
energy relative to the elements = -42 kJ/mol of atoms
SG = P4/mmm
crystal system = tetragonal

a b c (Å): 3.821 3.821 19.058
angles (deg): 90.00 90.00 90.00
Fractional coordinates of all 10 atoms:
Ce 0.000 0.000 0.000
Pm 0.000 0.000 0.201
Pm 0.000 0.000 0.400
Pm 0.000 0.000 0.600
Pm 0.000 0.000 0.799
Hg 0.500 0.500 0.102
Hg 0.500 0.500 0.301
Hg 0.500 0.500 0.500
Hg 0.500 0.500 0.699
Hg 0.500 0.500 0.898

***

Record 2
A relaxed Ce5PmHg6 crystal, computed with PBE.

DFT total energy = -39.97 eV/cell
mass density = 10143 kg/m3
energy relative to the elements = -30 kJ/mol of atoms
SG = C2/m
crystal system = monoclinic

a b c (Å): 9.348 9.348 5.384
angles (deg): 106.59 106.59 48.67
Fractional coordinates of all 12 atoms:
Ce 0.000 0.000 0.000
Ce 0.166 0.166 0.664
Ce 0.327 0.327 0.329
Ce 0.673 0.673 0.671
Ce 0.834 0.834 0.336
Pm 0.500 0.500 0.000
Hg 0.090 0.582 0.838
Hg 0.257 0.743 0.500
Hg 0.418 0.910 0.162
Hg 0.582 0.090 0.838
Hg 0.743 0.257 0.500
Hg 0.910 0.418 0.162

***

Record 3
A relaxed CePm2Hg7 crystal, computed with PBE.

DFT total energy = -20.48 eV/cell
mass density = 11127 kg/m3
energy relative to the elements = -28 kJ/mol of atoms
energy above the most stable polymorph in this dataset = 0.0 meV per atom
SG = P3m1
crystal system = trigonal

a b c (Å): 5.079 5.079 12.253
angles (deg): 90.00 90.00 120.00
Fractional coordinates of all 10 atoms:
Ce 0.000 0.000 0.000
Pm 0.333 0.667 0.681
Pm 0.667 0.333 0.363
Hg 0.000 0.000 0.272
Hg 0.000 0.000 0.551
Hg 0.333 0.667 0.180
Hg 0.333 0.667 0.437
Hg 0.333 0.667 0.925
Hg 0.667 0.333 0.095
Hg 0.667 0.333 0.817

***

Record 4
A relaxed CePmHg3 crystal, computed with PBE.

DFT total energy = -26.80 eV/cell
mass density = 11184 kg/m3
energy relative to the elements = -35 kJ/mol of atoms
energy above the most stable polymorph in this dataset = 0.0 meV per atom
SG = Cmcm
crystal system = orthorhombic

a b c (Å): 15.129 15.129 5.009
angles (deg): 90.00 90.00 166.72
Fractional coordinates of all 10 atoms:
Ce 0.214 0.786 0.750
Ce 0.786 0.214 0.250
Pm 0.074 0.926 0.250
Pm 0.926 0.074 0.750
Hg 0.325 0.675 0.750
Hg 0.380 0.620 0.250
Hg 0.476 0.524 0.250
Hg 0.524 0.476 0.750
Hg 0.620 0.380 0.750
Hg 0.675 0.325 0.250

***

Record 5
A relaxed CePmHg crystal, computed with PBE.

DFT total energy = -11.56 eV/cell
mass density = 9003 kg/m3
energy relative to the elements = -19 kJ/mol of atoms
energy above the most stable polymorph in this dataset = 0.0 meV per atom
SG = I4mm
crystal system = tetragonal

a b c (Å): 7.028 7.028 7.028
angles (deg): 149.42 149.42 43.80
Fractional coordinates of all 3 atoms:
Ce 0.000 0.000 0.000
Pm 0.693 0.693 0.000
Hg 0.344 0.344 0.000

***

Record 6
A relaxed CePmHg4 crystal, computed with PBE.

DFT total energy = -14.24 eV/cell
mass density = 11832 kg/m3
energy relative to the elements = -38 kJ/mol of atoms
energy above the most stable polymorph in this dataset = 0.0 meV per atom
SG = Immm
crystal system = orthorhombic

a b c (Å): 6.115 6.115 6.115
angles (deg): 130.98 111.55 88.68
Fractional coordinates of all 6 atoms:
Ce 0.000 0.000 0.000
Pm 0.500 0.000 0.500
Hg 0.080 0.333 0.747
Hg 0.413 0.667 0.747
Hg 0.587 0.333 0.253
Hg 0.920 0.667 0.253

***

The lowest energy relative to the elements belongs to which entry?
CePm4Hg5

***

The lowest energy relative to the elements belongs to which entry?
CePm4Hg5